Compound: RbCe2AgSe5
Source: the Alexandria database
Functional: PBE
Structure: relaxed

Summary:
The symmetry is No. 140. Its electronic total energy is -89.87 eV/cell. Its formation energy without anion corrections is -1314 meV/atom. The value obtained for the magnetic moment is 0.57 Bohr magnetons per cell. Its density is 5.70 g cm⁻³.

extended XYZ file:
```
18
Lattice="-4.046 4.046 7.725 4.046 -4.046 7.725 4.046 4.046 -7.725" Properties=species:S:1:pos:R:3 pbc="T T T"
Rb 0.000 0.000 3.862
Rb 0.000 0.000 11.587
Ce 5.361 1.315 0.000
Ce 1.315 2.732 0.000
Ce 2.732 1.315 7.725
Ce -1.315 2.732 7.725
Ag 4.046 0.000 3.862
Ag 0.000 4.046 3.862
Se 0.000 0.000 0.000
Se 2.865 1.181 -1.816
Se 2.865 -1.181 5.909
Se 2.865 1.181 1.816
Se 2.865 -1.181 9.541
Se 0.000 0.000 7.725
Se 1.181 5.227 -1.816
Se 1.181 2.865 5.909
Se 1.181 5.227 1.816
Se 1.181 2.865 9.541
```